(1)
First-principles (PBE) data for crystalline TeAsRh2 at its relaxed geometry, as listed in Alexandria.

Results
Offset from the most stable computed form   109.0 kJ/mol of formula units
Calculated total energy   -5.7137 eV per atom
ρ   9.67 g cm⁻³
SG   R-3m
Density of states at the Fermi level   0.73 states/eV/atom
Total moment   0.00 μB/f.u.

a b c (Å): 8.0410 8.0410 8.0410
angles (deg): 23.07 23.07 23.07
Fractional positions:
Te  0.0000  0.0000  0.0000
As  0.5000  0.5000  0.5000
Rh  0.2410  0.2410  0.2410
Rh  0.7590  0.7590  0.7590

---

(2)
First-principles (PBE) data for crystalline TeAsRh at its relaxed geometry, as listed in Alexandria.

Results
Calculated total energy   -5.5356 eV per atom
ρ   8.04 g cm⁻³
SG   P2_1/c
Density of states at the Fermi level   0.06 states/eV/atom
Total moment   0.00 μB/f.u.

a b c (Å): 6.4691 6.2499 6.4419
angles (deg): 90.00 104.47 90.00
Fractional positions:
Te  0.1528  0.1255  0.3482
Te  0.1528  0.3745  0.8482
Te  0.8472  0.6255  0.1518
Te  0.8472  0.8745  0.6518
As  0.3665  0.6311  0.6365
As  0.3665  0.8689  0.1365
As  0.6335  0.1311  0.8635
As  0.6335  0.3689  0.3635
Rh  0.2649  0.5132  0.2545
Rh  0.2649  0.9868  0.7545
Rh  0.7351  0.0132  0.2455
Rh  0.7351  0.4868  0.7455

---

(3)
First-principles (PBE) data for crystalline TeAsRh2 at its relaxed geometry, as listed in Alexandria.

Results
Offset from the most stable computed form   133.8 kJ/mol of formula units
Calculated total energy   -5.6494 eV per atom
ρ   9.48 g cm⁻³
SG   Imm2
Density of states at the Fermi level   0.76 states/eV/atom
Total moment   0.00 μB/f.u.

a b c (Å): 5.5885 5.5885 5.5885
angles (deg): 145.86 132.56 59.73
Fractional positions:
Te  0.0000  0.0000  0.0000
As  0.2747  0.7747  0.5000
Rh  0.4746  0.4746  0.0000
Rh  0.7749  0.2749  0.5000

---

(4)
First-principles (PBE) data for crystalline TeAsRh2 at its relaxed geometry, as listed in Alexandria.

Results
Offset from the most stable computed form   52.7 kJ/mol of formula units
Calculated total energy   -5.8594 eV per atom
ρ   8.80 g cm⁻³
SG   Cm
Density of states at the Fermi level   0.49 states/eV/atom
Total moment   0.00 μB/f.u.

a b c (Å): 4.4252 4.4252 5.5003
angles (deg): 97.60 97.60 46.27
Fractional positions:
Te  0.0000  0.0000  0.0000
As  0.2084  0.2084  0.5464
Rh  0.5041  0.5041  0.6039
Rh  0.7296  0.7296  0.2400

---

(5)
First-principles (PBE) data for crystalline Te3AsRh at its relaxed geometry, as listed in Alexandria.

Results
Offset from the most stable computed form   0.0 kJ/mol of formula units
Calculated total energy   -3.7766 eV per atom
ρ   6.70 g cm⁻³
SG   Pm-3m
Density of states at the Fermi level   1.20 states/eV/atom
Total moment   0.00 μB/f.u.

a b c (Å): 5.1802 5.1802 5.1802
angles (deg): 90.00 90.00 90.00
Fractional positions:
Te  0.0000  0.0000  0.5000
Te  0.0000  0.5000  0.0000
Te  0.5000  0.0000  0.0000
As  0.5000  0.5000  0.5000
Rh  0.0000  0.0000  0.0000

---

(6)
First-principles (PBE) data for crystalline TeAsRh at its relaxed geometry, as listed in Alexandria.

Results
Calculated total energy   -5.2795 eV per atom
ρ   7.90 g cm⁻³
SG   P3m1
Density of states at the Fermi level   0.68 states/eV/atom
Total moment   0.00 μB/f.u.

a b c (Å): 3.7614 3.7614 5.2375
angles (deg): 90.00 90.00 120.00
Fractional positions:
Te  0.0000  0.0000  0.0000
As  0.6667  0.3333  0.4685
Rh  0.3333  0.6667  0.6931

---

(7)
First-principles (PBE) data for crystalline TeAsRh2 at its relaxed geometry, as listed in Alexandria.

Results
Offset from the most stable computed form   110.9 kJ/mol of formula units
Calculated total energy   -5.7088 eV per atom
ρ   9.91 g cm⁻³
SG   P2/m
Density of states at the Fermi level   0.84 states/eV/atom
Total moment   0.00 μB/f.u.

a b c (Å): 3.1476 3.1930 6.8106
angles (deg): 90.00 90.17 90.00
Fractional positions:
Te  0.0000  0.0000  0.0000
As  0.0000  0.0000  0.5000
Rh  0.4991  0.5000  0.2909
Rh  0.5009  0.5000  0.7091

---

(8)
First-principles (PBE) data for crystalline TeAsRh2 at its relaxed geometry, as listed in Alexandria.

Results
Offset from the most stable computed form   82.5 kJ/mol of formula units
Calculated total energy   -5.7823 eV per atom
ρ   7.88 g cm⁻³
SG   I-42d
Density of states at the Fermi level   0.53 states/eV/atom
Total moment   0.00 μB/f.u.

a b c (Å): 7.8732 7.8732 7.8732
angles (deg): 143.43 143.43 52.67
Fractional positions:
Te  0.0000  0.0000  0.0000
Te  0.7500  0.2500  0.5000
As  0.2500  0.7500  0.5000
As  0.5000  0.5000  0.0000
Rh  0.1731  0.6250  0.0481
Rh  0.3750  0.4231  0.5481
Rh  0.5769  0.1250  0.9519
Rh  0.8750  0.8269  0.4519

---

(9)
First-principles (PBE) data for crystalline TeAsRh at its relaxed geometry, as listed in Alexandria.

Results
Calculated total energy   -5.1426 eV per atom
ρ   8.29 g cm⁻³
SG   I4mm
Density of states at the Fermi level   0.42 states/eV/atom
Total moment   0.00 μB/f.u.

a b c (Å): 6.5884 6.5884 6.5884
angles (deg): 152.43 152.43 39.39
Fractional positions:
Te  0.0000  0.0000  0.0000
As  0.2661  0.2661  0.0000
Rh  0.6565  0.6565  0.0000

---

(10)
First-principles (PBE) data for crystalline TeAsRh2 at its relaxed geometry, as listed in Alexandria.

Results
Offset from the most stable computed form   61.2 kJ/mol of formula units
Calculated total energy   -5.8374 eV per atom
ρ   9.28 g cm⁻³
SG   C2/m
Density of states at the Fermi level   0.53 states/eV/atom
Total moment   0.00 μB/f.u.

a b c (Å): 3.9779 3.9779 6.3592
angles (deg): 101.61 101.61 48.11
Fractional positions:
Te  0.0000  0.0000  0.0000
As  0.5000  0.5000  0.5000
Rh  0.2377  0.2377  0.6907
Rh  0.7623  0.7623  0.3093

---

(11)
First-principles (PBE) data for crystalline TeAsRh2 at its relaxed geometry, as listed in Alexandria.

Results
Offset from the most stable computed form   108.3 kJ/mol of formula units
Calculated total energy   -5.7154 eV per atom
ρ   8.00 g cm⁻³
SG   R3m
Density of states at the Fermi level   0.55 states/eV/atom
Total moment   0.00 μB/f.u.

a b c (Å): 7.4648 7.4648 7.4648
angles (deg): 28.68 28.68 28.68
Fractional positions:
Te  0.0000  0.0000  0.0000
As  0.7989  0.7989  0.7989
Rh  0.2698  0.2698  0.2698
Rh  0.5109  0.5109  0.5109

---

(12)
First-principles (PBE) data for crystalline TeAsRh4 at its relaxed geometry, as listed in Alexandria.

Results
Calculated total energy   -5.8497 eV per atom
ρ   9.99 g cm⁻³
SG   F-43m
Density of states at the Fermi level   1.42 states/eV/atom
Total moment   0.00 μB/f.u.

a b c (Å): 5.2466 5.2466 5.2466
angles (deg): 60.00 60.00 60.00
Fractional positions:
Te  0.0000  0.0000  0.0000
As  0.7500  0.7500  0.7500
Rh  0.3752  0.3752  0.3752
Rh  0.3752  0.3752  0.8745
Rh  0.3752  0.8745  0.3752
Rh  0.8745  0.3752  0.3752

---

(13)
First-principles (PBE) data for crystalline TeAsRh at its relaxed geometry, as listed in Alexandria.

Results
Calculated total energy   -5.5453 eV per atom
ρ   8.35 g cm⁻³
SG   P2_13
Density of states at the Fermi level   0.00 states/eV/atom
Total moment   0.00 μB/f.u.

a b c (Å): 6.2392 6.2392 6.2392
angles (deg): 90.00 90.00 90.00
Fractional positions:
Te  0.1228  0.1228  0.1228
Te  0.3772  0.8772  0.6228
Te  0.6228  0.3772  0.8772
Te  0.8772  0.6228  0.3772
As  0.1227  0.3773  0.6227
As  0.3773  0.6227  0.1227
As  0.6227  0.1227  0.3773
As  0.8773  0.8773  0.8773
Rh  0.0111  0.5111  0.9889
Rh  0.4889  0.4889  0.4889
Rh  0.5111  0.9889  0.0111
Rh  0.9889  0.0111  0.5111

---

(14)
First-principles (PBE) data for crystalline TeAsRh at its relaxed geometry, as listed in Alexandria.

Results
Calculated total energy   -5.3172 eV per atom
ρ   8.05 g cm⁻³
SG   F-43m
Density of states at the Fermi level   0.26 states/eV/atom
Total moment   0.00 μB/f.u.

a b c (Å): 4.4657 4.4657 4.4657
angles (deg): 60.00 60.00 60.00
Fractional positions:
Te  0.0000  0.0000  0.0000
As  0.5000  0.5000  0.5000
Rh  0.2500  0.2500  0.2500

---

(15)
First-principles (PBE) data for crystalline TeAsRh3 at its relaxed geometry, as listed in Alexandria.

Results
Offset from the most stable computed form   289.4 kJ/mol of formula units
Calculated total energy   -5.0503 eV per atom
ρ   7.60 g cm⁻³
SG   Pm-3m
Density of states at the Fermi level   2.08 states/eV/atom
Total moment   0.00 μB/f.u.

a b c (Å): 4.8153 4.8153 4.8153
angles (deg): 90.00 90.00 90.00
Fractional positions:
Te  0.0000  0.0000  0.0000
As  0.5000  0.5000  0.5000
Rh  0.0000  0.0000  0.5000
Rh  0.0000  0.5000  0.0000
Rh  0.5000  0.0000  0.0000